# 1
The following is a DFT calculation (PBE) of PrHo6Tl4 after structural relaxation.

```
data_PrHo6Tl4
_cell_length_a 3.772
_cell_length_b 10.059
_cell_length_c 10.059
_cell_angle_alpha 120.00
_cell_angle_beta 90.00
_cell_angle_gamma 90.00
_space_group_name_H-M_alt 'P 1'
_space_group_IT_number 1
loop_
_space_group_symop_operation_xyz
'x,y,z'
loop_
_atom_site_label
_atom_site_type_symbol
_atom_site_fract_x
_atom_site_fract_y
_atom_site_fract_z
_atom_site_occupancy
Tl1 Tl 0.500 0.328 0.164 1
Tl2 Tl 0.500 0.836 0.672 1
Tl3 Tl 0.000 0.333 0.667 1
Tl4 Tl 0.500 0.836 0.164 1
Ho1 Ho 0.000 0.539 0.078 1
Ho2 Ho 0.000 0.539 0.461 1
Ho3 Ho 0.000 0.922 0.461 1
Ho4 Ho 0.500 0.192 0.384 1
Ho5 Ho 0.500 0.192 0.808 1
Ho6 Ho 0.500 0.616 0.808 1
Pr1 Pr 0.000 0.000 0.000 1
```

Computed properties:
- Uncorrected energy: -44.2 eV per cell
- V: 30.0 Å³ per atom
- Formation enthalpy at 0 K: -0.229 eV/atom

=====

# 2
The following is a DFT calculation (PBE) of SrTeW2 after structural relaxation.

```
data_SrTeW2
_cell_length_a 3.568
_cell_length_b 4.613
_cell_length_c 5.320
_cell_angle_alpha 90.00
_cell_angle_beta 90.00
_cell_angle_gamma 90.00
_space_group_name_H-M_alt 'P 1'
_space_group_IT_number 1
loop_
_space_group_symop_operation_xyz
'x,y,z'
loop_
_atom_site_label
_atom_site_type_symbol
_atom_site_fract_x
_atom_site_fract_y
_atom_site_fract_z
_atom_site_occupancy
Sr1 Sr 0.500 0.000 0.500 1
W1 W 0.000 0.000 0.000 1
W2 W 0.500 0.500 0.000 1
Te1 Te 0.000 0.500 0.500 1
```

Computed properties:
- Uncorrected energy: -26.7 eV per cell
- V: 21.9 Å³ per atom
- E_form (uncorrected): 1.0161 eV/atom

=====

# 3
The following is a DFT calculation (PBE) of LiScMoOs after structural relaxation.

```
data_LiScMoOs
_cell_length_a 4.459
_cell_length_b 4.459
_cell_length_c 4.459
_cell_angle_alpha 60.00
_cell_angle_beta 60.00
_cell_angle_gamma 60.00
_space_group_name_H-M_alt 'P 1'
_space_group_IT_number 1
loop_
_space_group_symop_operation_xyz
'x,y,z'
loop_
_atom_site_label
_atom_site_type_symbol
_atom_site_fract_x
_atom_site_fract_y
_atom_site_fract_z
_atom_site_occupancy
Mo1 Mo 0.750 0.750 0.750 1
Li1 Li 0.000 0.000 0.000 1
Sc1 Sc 0.250 0.250 0.250 1
Os1 Os 0.500 0.500 0.500 1
```

Computed properties:
- Uncorrected energy: -30.6 eV per cell
- V: 15.7 Å³ per atom
- Formation enthalpy at 0 K: -0.072 eV/atom

=====

# 4
The following is a DFT calculation (PBE) of La6Co2AuI3 after structural relaxation.

```
data_La6Co2AuI3
_cell_length_a 7.406
_cell_length_b 7.406
_cell_length_c 8.542
_cell_angle_alpha 97.77
_cell_angle_beta 97.77
_cell_angle_gamma 121.21
_space_group_name_H-M_alt 'P 1'
_space_group_IT_number 1
loop_
_space_group_symop_operation_xyz
'x,y,z'
loop_
_atom_site_label
_atom_site_type_symbol
_atom_site_fract_x
_atom_site_fract_y
_atom_site_fract_z
_atom_site_occupancy
La1 La 0.705 0.705 0.185 1
La2 La 0.295 0.295 0.815 1
La3 La 0.431 0.075 0.185 1
La4 La 0.925 0.569 0.815 1
La5 La 0.075 0.431 0.185 1
La6 La 0.569 0.925 0.815 1
Co1 Co 0.332 0.668 0.000 1
Co2 Co 0.668 0.332 0.000 1
I1 I 0.836 0.164 0.500 1
I2 I 0.500 0.500 0.500 1
I3 I 0.164 0.836 0.500 1
Au1 Au 0.000 0.000 0.000 1
```

Computed properties:
- Uncorrected energy: -61.1 eV per cell
- V: 32.1 Å³ per atom
- E_form (uncorrected): -0.7803 eV/atom

=====

# 5
The following is a DFT calculation (PBE) of Tb4Dy2HoMg after structural relaxation.

```
data_Tb4Dy2HoMg
_cell_length_a 4.962
_cell_length_b 4.972
_cell_length_c 11.119
_cell_angle_alpha 63.42
_cell_angle_beta 90.00
_cell_angle_gamma 90.00
_space_group_name_H-M_alt 'P 1'
_space_group_IT_number 1
loop_
_space_group_symop_operation_xyz
'x,y,z'
loop_
_atom_site_label
_atom_site_type_symbol
_atom_site_fract_x
_atom_site_fract_y
_atom_site_fract_z
_atom_site_occupancy
Mg1 Mg 0.500 0.500 0.000 1
Dy1 Dy 0.500 0.000 0.500 1
Dy2 Dy 0.000 0.000 0.000 1
Tb1 Tb 0.500 0.248 0.752 1
Tb2 Tb 0.000 0.252 0.248 1
Tb3 Tb 0.000 0.748 0.752 1
Tb4 Tb 0.500 0.752 0.248 1
Ho1 Ho 0.000 0.500 0.500 1
```

Computed properties:
- Uncorrected energy: -33.8 eV per cell
- V: 30.7 Å³ per atom
- Formation enthalpy at 0 K: 0.018 eV/atom

=====

# 6
The following is a DFT calculation (PBE) of PmSmBi6 after structural relaxation.

```
data_PmSmBi6
_cell_length_a 4.692
_cell_length_b 4.667
_cell_length_c 11.904
_cell_angle_alpha 90.00
_cell_angle_beta 101.37
_cell_angle_gamma 90.00
_space_group_name_H-M_alt 'P 1'
_space_group_IT_number 1
loop_
_space_group_symop_operation_xyz
'x,y,z'
loop_
_atom_site_label
_atom_site_type_symbol
_atom_site_fract_x
_atom_site_fract_y
_atom_site_fract_z
_atom_site_occupancy
Bi1 Bi 0.440 0.000 0.880 1
Bi2 Bi 0.066 0.000 0.132 1
Bi3 Bi 0.314 0.500 0.627 1
Bi4 Bi 0.687 0.000 0.374 1
Bi5 Bi 0.560 0.500 0.119 1
Bi6 Bi 0.934 0.500 0.867 1
Pm1 Pm 0.176 0.500 0.352 1
Sm1 Sm 0.824 0.000 0.649 1
```

Computed properties:
- Uncorrected energy: -35.7 eV per cell
- V: 31.9 Å³ per atom
- Formation enthalpy at 0 K: -0.365 eV/atom

=====

Number 1: N(E_F) 0.786 states/eV/atom. Number 2: N(E_F) 1.038 states/eV/atom. Number 3: N(E_F) 0.526 states/eV/atom. Number 4: N(E_F) 0.684 states/eV/atom. Number 5: N(E_F) 1.465 states/eV/atom. Number 6: N(E_F) 0.582 states/eV/atom.